No. 1
Here is a relaxed structure of KSrLi3 from Alexandria. Energies are from PBE.

CIF file:
```
data_KSrLi3
_space_group_name_H-M_alt 'P m -3 m'
_space_group_IT_number 221
_space_group_name_Hall '-P 4 2 3'
_cell_length_a 6.399
_cell_length_b 6.399
_cell_length_c 6.399
_cell_angle_alpha 90.00
_cell_angle_beta 90.00
_cell_angle_gamma 90.00
loop_
_atom_site_label
_atom_site_fract_x
_atom_site_fract_y
_atom_site_fract_z
K1 0.000 0.000 0.000
Sr1 0.500 0.500 0.500
Li1 0.000 0.500 0.500
```

Computed properties:
The energy above the lowest structure with this stoichiometry is 0.121 eV/atom. The formation enthalpy at 0 K is 0.548 eV/atom.

No. 2
Here is a relaxed structure of K2SrLi from Alexandria. Energies are from PBE.

CIF file:
```
data_K2SrLi
_space_group_name_H-M_alt 'I -4 m 2'
_space_group_IT_number 119
_space_group_name_Hall 'I -4 -2'
_cell_length_a 6.630
_cell_length_b 6.630
_cell_length_c 9.657
_cell_angle_alpha 90.00
_cell_angle_beta 90.00
_cell_angle_gamma 90.00
loop_
_atom_site_label
_atom_site_fract_x
_atom_site_fract_y
_atom_site_fract_z
K1 0.000 0.000 0.000
K2 0.000 0.500 0.250
Sr1 0.000 0.000 0.500
Li1 0.000 0.500 0.750
```

Computed properties:
The energy above the lowest structure with this stoichiometry is 0.089 eV/atom. The formation enthalpy at 0 K is 0.171 eV/atom.

No. 3
Here is a relaxed structure of KSr2Li from Alexandria. Energies are from PBE.

CIF file:
```
data_KSr2Li
_space_group_name_H-M_alt 'F -4 3 m'
_space_group_IT_number 216
_space_group_name_Hall 'F -4 2 3'
_cell_length_a 9.384
_cell_length_b 9.384
_cell_length_c 9.384
_cell_angle_alpha 90.00
_cell_angle_beta 90.00
_cell_angle_gamma 90.00
loop_
_atom_site_label
_atom_site_fract_x
_atom_site_fract_y
_atom_site_fract_z
K1 0.000 0.000 0.000
Sr1 0.000 0.000 0.500
Sr2 0.250 0.250 0.750
Li1 0.250 0.250 0.250
```

Computed properties:
The formation enthalpy at 0 K is 0.200 eV/atom.

No. 4
Here is a relaxed structure of K2Sr2Li from Alexandria. Energies are from PBE.

CIF file:
```
data_K2Sr2Li
_space_group_name_H-M_alt 'P 4/m b m'
_space_group_IT_number 127
_space_group_name_Hall '-P 4 2ab'
_cell_length_a 8.903
_cell_length_b 8.903
_cell_length_c 6.904
_cell_angle_alpha 90.00
_cell_angle_beta 90.00
_cell_angle_gamma 90.00
loop_
_atom_site_label
_atom_site_fract_x
_atom_site_fract_y
_atom_site_fract_z
K1 0.144 0.356 0.000
Sr1 0.178 0.678 0.500
Li1 0.000 0.000 0.000
```

Computed properties:
The energy above the lowest structure with this stoichiometry is 0.021 eV/atom. The formation enthalpy at 0 K is 0.237 eV/atom.

No. 5
Here is a relaxed structure of K2SrLi from Alexandria. Energies are from PBE.

CIF file:
```
data_K2SrLi
_space_group_name_H-M_alt 'I m m 2'
_space_group_IT_number 44
_cell_length_a 4.502
_cell_length_b 7.071
_cell_length_c 13.730
_cell_angle_alpha 90.00
_cell_angle_beta 90.00
_cell_angle_gamma 90.00
loop_
_space_group_symop_operation_xyz
'x,y,z'
'-x,-y,z'
'-x,y,z'
'x,-y,z'
'x+1/2,y+1/2,z+1/2'
'-x+1/2,-y+1/2,z+1/2'
'-x+1/2,y+1/2,z+1/2'
'x+1/2,-y+1/2,z+1/2'
loop_
_atom_site_label
_atom_site_fract_x
_atom_site_fract_y
_atom_site_fract_z
K1 0.000 0.000 0.000
K2 0.000 0.500 0.214
Sr1 0.000 0.000 0.425
Li1 0.000 0.500 0.716
```

Computed properties:
The energy above the lowest structure with this stoichiometry is 0.073 eV/atom. The formation enthalpy at 0 K is 0.155 eV/atom.

No. 6
Here is a relaxed structure of KSr6Li6 from Alexandria. Energies are from PBE.

CIF file:
```
data_KSr6Li6
_space_group_name_H-M_alt 'I m m m'
_space_group_IT_number 71
_space_group_name_Hall '-I 2 2'
_cell_length_a 7.071
_cell_length_b 12.236
_cell_length_c 12.265
_cell_angle_alpha 90.00
_cell_angle_beta 90.00
_cell_angle_gamma 90.00
loop_
_atom_site_label
_atom_site_fract_x
_atom_site_fract_y
_atom_site_fract_z
K1 0.000 0.000 0.000
Sr1 0.000 0.000 0.333
Sr2 0.000 0.323 0.500
Sr3 0.000 0.342 0.000
Li1 0.000 0.500 0.259
Li2 0.250 0.250 0.250
```

Computed properties:
The formation enthalpy at 0 K is 0.082 eV/atom.

No. 7
Here is a relaxed structure of K2SrLi2 from Alexandria. Energies are from PBE.

CIF file:
```
data_K2SrLi2
_space_group_name_H-M_alt 'P 4/m b m'
_space_group_IT_number 127
_space_group_name_Hall '-P 4 2ab'
_cell_length_a 9.900
_cell_length_b 9.900
_cell_length_c 4.864
_cell_angle_alpha 90.00
_cell_angle_beta 90.00
_cell_angle_gamma 90.00
loop_
_atom_site_label
_atom_site_fract_x
_atom_site_fract_y
_atom_site_fract_z
K1 0.170 0.330 0.000
Sr1 0.000 0.000 0.500
Li1 0.120 0.620 0.500
```

Computed properties:
The energy above the lowest structure with this stoichiometry is 0.000 eV/atom. The formation enthalpy at 0 K is 0.173 eV/atom.

No. 8
Here is a relaxed structure of KSr2Li from Alexandria. Energies are from PBE.

CIF file:
```
data_KSr2Li
_space_group_name_H-M_alt 'C m m m'
_space_group_IT_number 65
_space_group_name_Hall '-C 2 2'
_cell_length_a 5.987
_cell_length_b 6.006
_cell_length_c 11.066
_cell_angle_alpha 90.00
_cell_angle_beta 90.00
_cell_angle_gamma 90.00
loop_
_atom_site_label
_atom_site_fract_x
_atom_site_fract_y
_atom_site_fract_z
K1 0.000 0.000 0.000
Sr1 0.000 0.500 0.313
Li1 0.000 0.000 0.500
```

Computed properties:
The formation enthalpy at 0 K is 0.075 eV/atom.

No. 9
Here is a relaxed structure of K2SrLi from Alexandria. Energies are from PBE.

CIF file:
```
data_K2SrLi
_space_group_name_H-M_alt 'C m m m'
_space_group_IT_number 65
_space_group_name_Hall '-C 2 2'
_cell_length_a 4.622
_cell_length_b 6.873
_cell_length_c 13.544
_cell_angle_alpha 90.00
_cell_angle_beta 90.00
_cell_angle_gamma 90.00
loop_
_atom_site_label
_atom_site_fract_x
_atom_site_fract_y
_atom_site_fract_z
K1 0.000 0.000 0.221
Sr1 0.000 0.500 0.500
Li1 0.000 0.500 0.000
```

Computed properties:
The energy above the lowest structure with this stoichiometry is 0.081 eV/atom. The formation enthalpy at 0 K is 0.163 eV/atom.

No. 10
Here is a relaxed structure of KSr2Li from Alexandria. Energies are from PBE.

CIF file:
```
data_KSr2Li
_space_group_name_H-M_alt 'C 1 2/m 1'
_space_group_IT_number 12
_cell_length_a 15.102
_cell_length_b 4.421
_cell_length_c 6.841
_cell_angle_alpha 90.00
_cell_angle_beta 116.44
_cell_angle_gamma 90.00
loop_
_space_group_symop_operation_xyz
'x,y,z'
'-x,-y,-z'
'-x,y,-z'
'x,-y,z'
'x+1/2,y+1/2,z'
'-x+1/2,-y+1/2,-z'
'-x+1/2,y+1/2,-z'
'x+1/2,-y+1/2,z'
loop_
_atom_site_label
_atom_site_fract_x
_atom_site_fract_y
_atom_site_fract_z
K1 0.000 0.000 0.000
Sr1 0.217 0.000 0.717
Li1 0.000 0.500 0.500
```

Computed properties:
The formation enthalpy at 0 K is 0.128 eV/atom.

No. 11
Here is a relaxed structure of K3SrLi from Alexandria. Energies are from PBE.

CIF file:
```
data_K3SrLi
_space_group_name_H-M_alt 'P m -3 m'
_space_group_IT_number 221
_space_group_name_Hall '-P 4 2 3'
_cell_length_a 6.828
_cell_length_b 6.828
_cell_length_c 6.828
_cell_angle_alpha 90.00
_cell_angle_beta 90.00
_cell_angle_gamma 90.00
loop_
_atom_site_label
_atom_site_fract_x
_atom_site_fract_y
_atom_site_fract_z
K1 0.000 0.000 0.500
Sr1 0.500 0.500 0.500
Li1 0.000 0.000 0.000
```

Computed properties:
The energy above the lowest structure with this stoichiometry is 0.000 eV/atom. The formation enthalpy at 0 K is 0.245 eV/atom.

No. 12
Here is a relaxed structure of KSr2Li2 from Alexandria. Energies are from PBE.

CIF file:
```
data_KSr2Li2
_space_group_name_H-M_alt 'P 4/m b m'
_space_group_IT_number 127
_space_group_name_Hall '-P 4 2ab'
_cell_length_a 9.770
_cell_length_b 9.770
_cell_length_c 4.580
_cell_angle_alpha 90.00
_cell_angle_beta 90.00
_cell_angle_gamma 90.00
loop_
_atom_site_label
_atom_site_fract_x
_atom_site_fract_y
_atom_site_fract_z
K1 0.000 0.000 0.000
Sr1 0.164 0.336 0.500
Li1 0.120 0.620 0.000
```

Computed properties:
The energy above the lowest structure with this stoichiometry is 0.000 eV/atom. The formation enthalpy at 0 K is 0.083 eV/atom.